First-principles (PBE-GGA) data for crystalline AcLa6Pd2 at its relaxed geometry, as listed in the Alexandria database.

Calculated values
Its space-group type is C2/m. The crystal system is monoclinic. Its formation energy from the elements is -297 meV per atom.

Cell lengths 6.900, 6.900, 9.677 Å; angles 92.11, 92.11, 40.89 degrees
Fractional coordinates of all 9 atoms:
1 Ac 0.000 0.000 0.000
2 La 0.098 0.098 0.635
3 La 0.286 0.286 0.113
4 La 0.386 0.386 0.688
5 La 0.614 0.614 0.312
6 La 0.714 0.714 0.887
7 La 0.902 0.902 0.365
8 Pd 0.250 0.250 0.408
9 Pd 0.750 0.750 0.592

***

First-principles (PBE-GGA) data for crystalline Ac3LaPd at its relaxed geometry, as listed in the Alexandria database.

Calculated values
Its space-group type is Pm-3m. The crystal system is cubic. Its formation energy from the elements is -144 meV per atom.

Cell lengths 5.973, 5.973, 5.973 Å; angles 90.00, 90.00, 90.00 degrees
Fractional coordinates of all 5 atoms:
1 Ac 0.000 0.000 0.500
2 Ac 0.000 0.500 0.000
3 Ac 0.500 0.000 0.000
4 La 0.500 0.500 0.500
5 Pd 0.000 0.000 0.000

***

First-principles (PBE-GGA) data for crystalline AcLa3Pd8 at its relaxed geometry, as listed in the Alexandria database.

Calculated values
Its space-group type is P3m1. The crystal system is trigonal. Its formation energy from the elements is -756 meV per atom.

Cell lengths 5.590, 5.590, 9.214 Å; angles 90.00, 90.00, 120.00 degrees
Fractional coordinates of all 12 atoms:
1 Ac 0.000 0.000 0.000
2 La 0.000 0.000 0.374
3 La 0.667 0.333 0.494
4 La 0.667 0.333 0.862
5 Pd 0.166 0.332 0.682
6 Pd 0.166 0.834 0.682
7 Pd 0.333 0.667 0.434
8 Pd 0.333 0.667 0.933
9 Pd 0.501 0.002 0.186
10 Pd 0.501 0.499 0.186
11 Pd 0.668 0.834 0.682
12 Pd 0.998 0.499 0.186

***

First-principles (PBE-GGA) data for crystalline AcLaPd at its relaxed geometry, as listed in the Alexandria database.

Calculated values
The calculation puts the energy relative to the lowest polymorph listed for this composition at 0.047 eV/atom. Its space-group type is R3m. The crystal system is trigonal. Its formation energy from the elements is -406 meV per atom.

Cell lengths 7.504, 7.504, 7.504 Å; angles 31.73, 31.73, 31.73 degrees
Fractional coordinates of all 3 atoms:
1 Ac 0.000 0.000 0.000
2 La 0.179 0.179 0.179
3 Pd 0.762 0.762 0.762

***

First-principles (PBE-GGA) data for crystalline AcLaPd at its relaxed geometry, as listed in the Alexandria database.

Calculated values
The calculation puts the energy relative to the lowest polymorph listed for this composition at 0.004 eV/atom. Its space-group type is I4mm. The crystal system is tetragonal. Its formation energy from the elements is -449 meV per atom.

Cell lengths 7.141, 7.141, 7.141 Å; angles 149.20, 149.20, 44.12 degrees
Fractional coordinates of all 3 atoms:
1 Ac 0.000 0.000 0.000
2 La 0.732 0.732 0.000
3 Pd 0.355 0.355 0.000

***

First-principles (PBE-GGA) data for crystalline Ac3La2Pd4 at its relaxed geometry, as listed in the Alexandria database.

Calculated values
Its space-group type is C2/m. The crystal system is monoclinic. Its formation energy from the elements is -681 meV per atom.

Cell lengths 7.445, 7.445, 9.578 Å; angles 101.27, 101.27, 32.72 degrees
Fractional coordinates of all 9 atoms:
1 Ac 0.000 0.000 0.000
2 Ac 0.394 0.394 0.598
3 Ac 0.606 0.606 0.402
4 La 0.305 0.305 0.187
5 La 0.695 0.695 0.813
6 Pd 0.062 0.062 0.649
7 Pd 0.345 0.345 0.895
8 Pd 0.655 0.655 0.105
9 Pd 0.938 0.938 0.351

***

First-principles (PBE-GGA) data for crystalline AcLaPd3 at its relaxed geometry, as listed in the Alexandria database.

Calculated values
The calculation puts the energy relative to the lowest polymorph listed for this composition at 0.044 eV/atom. Its space-group type is Cmcm. The crystal system is orthorhombic. Its formation energy from the elements is -770 meV per atom.

Cell lengths 14.125, 14.125, 4.478 Å; angles 90.00, 90.00, 163.52 degrees
Fractional coordinates of all 10 atoms:
1 Ac 0.200 0.800 0.750
2 Ac 0.800 0.200 0.250
3 La 0.068 0.932 0.250
4 La 0.932 0.068 0.750
5 Pd 0.320 0.680 0.750
6 Pd 0.381 0.619 0.250
7 Pd 0.475 0.525 0.250
8 Pd 0.525 0.475 0.750
9 Pd 0.619 0.381 0.750
10 Pd 0.680 0.320 0.250

***

First-principles (PBE-GGA) data for crystalline AcLaPd at its relaxed geometry, as listed in the Alexandria database.

Calculated values
The calculation puts the energy relative to the lowest polymorph listed for this composition at 0.000 eV/atom. Its space-group type is P-1. The crystal system is triclinic. Its formation energy from the elements is -453 meV per atom.

Cell lengths 3.799, 7.068, 7.525 Å; angles 75.72, 89.84, 74.48 degrees
Fractional coordinates of all 6 atoms:
1 Ac 0.143 0.211 0.093
2 Ac 0.857 0.789 0.907
3 La 0.125 0.257 0.562
4 La 0.875 0.743 0.438
5 Pd 0.484 0.530 0.223
6 Pd 0.516 0.470 0.777

***

First-principles (PBE-GGA) data for crystalline Ac2La3Pd2 at its relaxed geometry, as listed in the Alexandria database.

Calculated values
Its space-group type is C2/m. The crystal system is monoclinic. Its formation energy from the elements is -479 meV per atom.

Cell lengths 6.710, 6.710, 9.610 Å; angles 112.12, 112.12, 35.17 degrees
Fractional coordinates of all 7 atoms:
1 Ac 0.161 0.161 0.301
2 Ac 0.839 0.839 0.699
3 La 0.382 0.382 0.065
4 La 0.500 0.500 0.500
5 La 0.618 0.618 0.935
6 Pd 0.151 0.151 0.723
7 Pd 0.849 0.849 0.277

***

First-principles (PBE-GGA) data for crystalline Ac6LaPd4 at its relaxed geometry, as listed in the Alexandria database.

Calculated values
Its space-group type is Cm. The crystal system is monoclinic. Its formation energy from the elements is -463 meV per atom.

Cell lengths 6.437, 6.437, 9.848 Å; angles 105.89, 105.89, 97.75 degrees
Fractional coordinates of all 11 atoms:
1 Ac 0.000 0.000 0.000
2 Ac 0.340 0.883 0.702
3 Ac 0.476 0.912 0.321
4 Ac 0.506 0.506 0.977
5 Ac 0.883 0.340 0.702
6 Ac 0.912 0.476 0.321
7 La 0.447 0.447 0.401
8 Pd 0.060 0.527 0.056
9 Pd 0.338 0.338 0.641
10 Pd 0.527 0.060 0.056
11 Pd 0.815 0.815 0.646

***

First-principles (PBE-GGA) data for crystalline AcLa3Pd12 at its relaxed geometry, as listed in the Alexandria database.

Calculated values
Its space-group type is P4/mmm. The crystal system is tetragonal. Its formation energy from the elements is -779 meV per atom.

Cell lengths 4.252, 4.252, 17.007 Å; angles 90.00, 90.00, 90.00 degrees
Fractional coordinates of all 16 atoms:
1 Ac 0.000 0.000 0.000
2 La 0.000 0.000 0.252
3 La 0.000 0.000 0.500
4 La 0.000 0.000 0.748
5 Pd 0.000 0.500 0.129
6 Pd 0.000 0.500 0.376
7 Pd 0.000 0.500 0.624
8 Pd 0.000 0.500 0.871
9 Pd 0.500 0.000 0.129
10 Pd 0.500 0.000 0.376
11 Pd 0.500 0.000 0.624
12 Pd 0.500 0.000 0.871
13 Pd 0.500 0.500 0.000
14 Pd 0.500 0.500 0.253
15 Pd 0.500 0.500 0.500
16 Pd 0.500 0.500 0.747

***

First-principles (PBE-GGA) data for crystalline Ac4LaPd5 at its relaxed geometry, as listed in the Alexandria database.

Calculated values
Its space-group type is I4/m. The crystal system is tetragonal. Its formation energy from the elements is -774 meV per atom.

Cell lengths 7.605, 7.605, 7.605 Å; angles 99.59, 99.59, 131.81 degrees
Fractional coordinates of all 10 atoms:
1 Ac 0.098 0.701 0.799
2 Ac 0.299 0.098 0.398
3 Ac 0.701 0.902 0.602
4 Ac 0.902 0.299 0.201
5 La 0.500 0.500 0.000
6 Pd 0.000 0.000 0.000
7 Pd 0.206 0.402 0.608
8 Pd 0.402 0.794 0.197
9 Pd 0.598 0.206 0.803
10 Pd 0.794 0.598 0.392